First-principles (PBE) data for crystalline ZnIn2F4 at its relaxed geometry, as listed in Alexandria via LeMat-Bulk.

Summary:
Space-group type = P2_1/m, No. 11
Raw total energy = -3.95 eV/atom
Uncorrected formation energy = -13.4 eV/f.u.
Energy relative to the lowest polymorph listed for this composition = 0 meV/atom

Cell lengths 6.1012, 5.4099, 9.6315 Å; angles 116.96, 90.00, 90.00 degrees
Closest atoms and distances in Å follow each position.
Atoms (fractional coordinates):
In 0.7500 0.7999 0.4773  3 F 2.38-2.43
In 0.2500 0.5043 0.1543  3 F 2.39-2.52
In 0.2500 0.2001 0.5227  3 F 2.38-2.43
In 0.7500 0.4957 0.8457  3 F 2.39-2.52
F 0.5230 0.4021 0.3177  1 Zn 1.99
F 0.7500 0.9919 0.9720  1 Zn 1.90
F 0.0230 0.5979 0.6823  1 Zn 1.99
F 0.2500 0.1883 0.7663  1 Zn 1.93
F 0.7500 0.8117 0.2337  1 Zn 1.93
F 0.2500 0.0081 0.0280  1 Zn 1.90
F 0.4770 0.5979 0.6823  1 Zn 1.99
F 0.9770 0.4021 0.3177  1 Zn 1.99
Zn 0.7500 0.1285 0.1923  4 F 1.90-1.99
Zn 0.2500 0.8715 0.8077  4 F 1.90-1.99